Material: YPu2Sb
Method: DFT, GGA-PBE
State: optimized geometry

Properties
D(E_F)	11.14	states/eV/f.u.
formation energy from raw total energies	-0.404	eV per atom

Unit cell a=4.544 b=4.544 c=5.125 alpha=90.00 beta=90.00 gamma=90.00
Space group P4/mmm (No. 123)
One atom of each set of equivalent atoms:
Y (0.000, 0.000, 0.000) [1 per cell]
Pu (0.000, 0.500, 0.500) [2 per cell]
Sb (0.500, 0.500, 0.000) [1 per cell]

Material: ZnHgN2F
Method: DFT, GGA-PBE
State: optimized geometry

Properties
D(E_F)	1.73	states/eV/f.u.
offset from the most stable computed form	0	meV per atom
formation energy from raw total energies	0.833	eV per atom

Unit cell a=4.036 b=4.036 c=4.120 alpha=90.00 beta=90.00 gamma=90.00
Space group P4/mmm (No. 123)
One atom of each set of equivalent atoms:
Zn (0.000, 0.000, 0.000) [1 per cell]
Hg (0.500, 0.500, 0.500) [1 per cell]
N (0.000, 0.500, 0.000) [2 per cell]
F (0.000, 0.000, 0.500) [1 per cell]

Material: CdFe3
Method: DFT, GGA-PBE
State: optimized geometry

Properties
D(E_F)	2.63	states/eV/f.u.
energy of formation	0.198	eV per atom

Unit cell a=2.992 b=2.992 c=6.231 alpha=90.00 beta=90.00 gamma=90.00
Space group P4/mmm (No. 123)
One atom of each set of equivalent atoms:
Cd (0.000, 0.000, 0.000) [1 per cell]
Fe (0.000, 0.000, 0.500) [1 per cell]
Fe (0.500, 0.500, 0.294) [2 per cell]

Material: Ba5InSe8
Method: DFT, GGA-PBE
State: optimized geometry

Properties
D(E_F)	12.76	states/eV/f.u.
formation energy from raw total energies	-1.356	eV per atom

Unit cell a=9.358 b=9.358 c=10.640 alpha=90.00 beta=90.00 gamma=90.00
Space group I-4 (No. 82)
One atom of each set of equivalent atoms:
Ba (0.000, 0.000, 0.000) [2 per cell]
Ba (0.129, 0.255, 0.381) [8 per cell]
In (0.000, 0.500, 0.750) [2 per cell]
Se (0.075, 0.220, 0.702) [8 per cell]
Se (0.101, 0.319, 0.077) [8 per cell]

Material: CeGdOsAu
Method: DFT, GGA-PBE
State: optimized geometry

Properties
D(E_F)	6.70	states/eV/f.u.
energy of formation	-0.355	eV per atom

Unit cell a=7.106 b=7.106 c=7.106 alpha=90.00 beta=90.00 gamma=90.00
Space group F-43m (No. 216)
One atom of each set of equivalent atoms:
Ce (0.000, 0.000, 0.000) [4 per cell]
Gd (0.000, 0.000, 0.500) [4 per cell]
Os (0.250, 0.250, 0.250) [4 per cell]
Au (0.250, 0.250, 0.750) [4 per cell]

Material: Fe2HIrPd
Method: DFT, GGA-PBE
State: optimized geometry

Properties
D(E_F)	4.14	states/eV/f.u.
offset from the most stable computed form	50	meV per atom

Unit cell a=3.878 b=3.878 c=3.753 alpha=90.00 beta=90.00 gamma=90.00
Space group P4/mmm (No. 123)
One atom of each set of equivalent atoms:
Fe (0.000, 0.500, 0.000) [2 per cell]
H (0.000, 0.000, 0.000) [1 per cell]
Ir (0.500, 0.500, 0.500) [1 per cell]
Pd (0.000, 0.000, 0.500) [1 per cell]

Material: AcMgAgGe2
Method: DFT, GGA-PBE
State: optimized geometry

Properties
D(E_F)	2.45	states/eV/f.u.
energy of formation	-0.497	eV per atom

Unit cell a=4.448 b=4.448 c=11.637 alpha=90.00 beta=90.00 gamma=90.00
Space group I-4m2 (No. 119)
One atom of each set of equivalent atoms:
Ac (0.000, 0.000, 0.000) [2 per cell]
Mg (0.000, 0.500, 0.250) [2 per cell]
Ag (0.000, 0.500, 0.750) [2 per cell]
Ge (0.000, 0.000, 0.389) [4 per cell]

Material: NpU2Sb2
Method: DFT, GGA-PBE
State: optimized geometry

Properties
D(E_F)	9.91	states/eV/f.u.
formation energy from raw total energies	-0.066	eV per atom

Unit cell a=3.767 b=7.349 c=8.529 alpha=90.00 beta=90.00 gamma=90.00
Space group Immm (No. 71)
One atom of each set of equivalent atoms:
Np (0.000, 0.000, 0.000) [2 per cell]
U (0.000, 0.257, 0.500) [4 per cell]
Sb (0.000, 0.500, 0.202) [4 per cell]

Material: TaIr2
Method: DFT, GGA-PBE
State: optimized geometry

Properties
D(E_F)	2.32	states/eV/f.u.
energy of formation	-0.410	eV per atom

Unit cell a=7.6017 b=7.6017 c=2.8429 alpha=90.00 beta=90.00 gamma=120.00
Space group P-62m (No. 189)
One atom of each set of equivalent atoms:
Ta (0.0000, 0.0000, 0.0000) [1 per cell]
Ta (0.3333, 0.6667, 0.5000) [2 per cell]
Ir (0.0000, 0.2990, 0.5000) [3 per cell]
Ir (0.0000, 0.6382, 0.0000) [3 per cell]

Material: Na3BeSb
Method: DFT, GGA-PBE
State: optimized geometry

Properties
D(E_F)	0.00	states/eV/f.u.
offset from the most stable computed form	0	meV per atom
formation energy from raw total energies	0.432	eV per atom

Unit cell a=5.897 b=5.897 c=5.897 alpha=90.00 beta=90.00 gamma=90.00
Space group Pm-3m (No. 221)
One atom of each set of equivalent atoms:
Na (0.000, 0.000, 0.500) [3 per cell]
Be (0.500, 0.500, 0.500) [1 per cell]
Sb (0.000, 0.000, 0.000) [1 per cell]

Material: YIn2W
Method: DFT, GGA-PBE
State: optimized geometry

Properties
D(E_F)	1.61	states/eV/f.u.
offset from the most stable computed form	0	meV per atom
energy of formation	0.190	eV per atom

Unit cell a=4.427 b=4.468 c=8.700 alpha=90.00 beta=90.00 gamma=90.00
Space group Immm (No. 71)
One atom of each set of equivalent atoms:
Y (0.000, 0.000, 0.000) [2 per cell]
In (0.000, 0.500, 0.249) [4 per cell]
W (0.000, 0.000, 0.500) [2 per cell]

Material: LaTb2DyHg4
Method: DFT, GGA-PBE
State: optimized geometry

Properties
D(E_F)	9.00	states/eV/f.u.
energy of formation	-0.473	eV per atom

Unit cell a=5.3245 b=5.3245 c=26.3963 alpha=90.00 beta=90.00 gamma=120.00
Space group R-3m (No. 166, hexagonal axes)
One atom of each set of equivalent atoms:
La (0.0000, 0.0000, 0.0000) [3 per cell]
Tb (0.0000, 0.0000, 0.2490) [6 per cell]
Dy (0.0000, 0.0000, 0.5000) [3 per cell]
Hg (0.0000, 0.0000, 0.1276) [6 per cell]
Hg (0.0000, 0.0000, 0.3795) [6 per cell]

no.,DFT total energy (eV/cell),theoretical density (kg/m3)
1,-40.867,10966
2,-15.934,7747
3,-25.513,8335
4,-118.435,5109
5,-143.768,12671
6,-33.984,12098
7,-40.552,7278
8,-88.183,13455
9,-92.409,19797
10,-9.644,1617
11,-48.268,9697
12,-71.347,10927